No. 1
! CsAgPbO3 PBE optimized geometry; values from VASP
! SG	Pnma
&SYSTEM
  ibrav = 0, nat = 24, ntyp = 4
/
ATOMIC_SPECIES
Ag 107.87 Ag.upf
Cs 132.91 Cs.upf
O 16.00 O.upf
Pb 207.20 Pb.upf
ATOMIC_POSITIONS crystal
Ag 0.587 0.500 0.033
Ag 0.087 0.000 0.467
Ag 0.913 0.500 0.533
Ag 0.413 0.000 0.967
Cs 0.378 0.500 0.244
Cs 0.878 0.000 0.256
Cs 0.122 0.500 0.744
Cs 0.622 0.000 0.756
O 0.943 0.500 0.077
O 0.696 0.000 0.085
O 0.215 0.000 0.107
O 0.715 0.500 0.393
O 0.196 0.500 0.415
O 0.443 0.000 0.423
O 0.557 0.500 0.577
O 0.804 0.000 0.585
O 0.285 0.000 0.607
O 0.785 0.500 0.893
O 0.304 0.500 0.915
O 0.057 0.000 0.923
Pb 0.143 0.500 0.020
Pb 0.643 0.000 0.480
Pb 0.357 0.500 0.520
Pb 0.857 0.000 0.980
CELL_PARAMETERS angstrom
-10.308 0.960 0.131
-0.200 -1.747 -2.979
-0.986 -11.509 6.815


No. 2
! CsAg3PbO4 PBE optimized geometry; values from VASP
! SG	P-43m
&SYSTEM
  ibrav = 0, nat = 9, ntyp = 4
/
ATOMIC_SPECIES
Ag 107.87 Ag.upf
Cs 132.91 Cs.upf
O 16.00 O.upf
Pb 207.20 Pb.upf
ATOMIC_POSITIONS crystal
Ag 0.500 0.500 0.000
Ag 0.500 0.000 0.500
Ag 0.000 0.500 0.500
Cs 0.000 0.000 0.000
O 0.292 0.292 0.292
O 0.708 0.708 0.292
O 0.708 0.292 0.708
O 0.292 0.708 0.708
Pb 0.500 0.500 0.500
CELL_PARAMETERS angstrom
-1.007 -2.062 -5.405
5.729 -1.117 -0.641
-0.803 -5.383 2.203


Quick rundown of final energy, same order as above: -27.02; -36.08 eV/f.u.